[1]
Entry from the Alexandria database: a relaxed structure of AlCu2Te (PBE).

As for the space group: F-43m, No. 216. The energy relative to the elements, uncorrected comes out at 1.64 eV per formula unit. The volume is 18.1 A^3/atom. The density of states at the Fermi level comes out at 3.8 states/eV/f.u. The magnetic moment is 0.00 μB per cell. For the offset from the most stable computed form, the calculation gives 0.357 eV per atom. The calculation puts the energy at -3.360 eV per atom.

The structure in POSCAR format:
```
AlCu2Te
1.0
0.000 3.305 3.305
3.305 0.000 3.305
3.305 3.305 0.000
Al Cu Te
1 2 1
direct
0.000 0.000 0.000
0.500 0.500 0.500
0.750 0.750 0.750
0.250 0.250 0.250
```

=====

[2]
Entry from the Alexandria database: a relaxed structure of CaAcIn3 (PBE).

As for the space group: Cmcm, No. 63. The volume is 30.7 A^3/atom. The density of states at the Fermi level comes out at 2.3 states/eV/f.u. The magnetic moment is 0.00 μB per cell. For the offset from the most stable computed form, the calculation gives 0.000 eV per atom. The value obtained for the formation energy from the elements is -0.445 eV per atom. The calculation puts the energy at -3.310 eV per atom.

The structure in POSCAR format:
```
CaAcIn3
1.0
2.005 -15.158 0.000
2.005 15.158 0.000
0.000 0.000 5.044
Ca Ac In
2 2 6
direct
0.211 0.789 0.750
0.789 0.211 0.250
0.074 0.926 0.250
0.926 0.074 0.750
0.320 0.680 0.750
0.376 0.624 0.250
0.475 0.525 0.250
0.525 0.475 0.750
0.624 0.376 0.750
0.680 0.320 0.250
```

=====

[3]
Entry from the Alexandria database: a relaxed structure of MnAsIr2 (PBE).

As for the space group: Cmmm, No. 65. The volume is 14.6 A^3/atom. The density of states at the Fermi level comes out at 2.5 states/eV/f.u. The magnetic moment is 3.54 μB per cell. The value obtained for the formation energy from the elements is 0.035 eV per atom. The calculation puts the energy at -7.850 eV per atom.

The structure in POSCAR format:
```
MnAsIr2
1.0
2.816 -3.491 0.000
2.816 3.491 0.000
0.000 0.000 2.977
Mn As Ir
1 1 2
direct
0.000 0.000 0.000
0.500 0.500 0.000
0.000 0.500 0.500
0.500 0.000 0.500
```

=====

[4]
Entry from the Alexandria database: a relaxed structure of LaEr6Tm5 (PBE).

As for the space group: C2/m, No. 12. The volume is 30.8 A^3/atom. The density of states at the Fermi level comes out at 16.7 states/eV/f.u. The magnetic moment is 0.00 μB per cell. The value obtained for the formation energy from the elements is 0.028 eV per atom. The calculation puts the energy at -4.527 eV per atom.

The structure in POSCAR format:
```
LaEr6Tm5
1.0
3.047 -5.275 0.000
3.047 5.275 0.000
-2.030 0.000 11.498
La Er Tm
1 6 5
direct
0.000 0.000 0.000
0.084 0.419 0.253
0.251 0.251 0.747
0.419 0.084 0.253
0.581 0.916 0.747
0.749 0.749 0.253
0.916 0.581 0.747
0.167 0.833 0.500
0.333 0.667 0.000
0.500 0.500 0.500
0.667 0.333 0.000
0.833 0.167 0.500
```